# 1
Computed, not measured: a geometry-optimized SrHf3O structure at the PBE level of DFT.

Summary:
* uncorrected formation energy: -0.470 eV per atom
* volume: 102.2 Å³/cell
* offset from the most stable computed form: 0.00 eV/f.u.
* total energy: -38.85 eV/f.u.

abc: 4.676 4.676 4.676
angles: 90.00 90.00 90.00
Element x y z (fractional)
Sr (0.500, 0.500, 0.500)
Hf (0.000, 0.500, 0.000)
Hf (0.000, 0.000, 0.500)
Hf (0.500, 0.000, 0.000)
O (0.000, 0.000, 0.000)



# 2
Computed, not measured: a geometry-optimized TiAg2Au structure at the PBE level of DFT.

Summary:
* formation enthalpy at 0 K: 0.1942 eV/atom
* volume: 73.3 Å³/cell
* offset from the most stable computed form: 0.70 eV/f.u.
* total energy: -16.10 eV/f.u.

abc: 2.844 2.844 10.594
angles: 82.29 82.29 60.00
Element x y z (fractional)
Au (0.500, 0.500, 0.500)
Ag (0.085, 0.085, 0.745)
Ag (0.915, 0.915, 0.255)
Ti (0.000, 0.000, 0.000)



# 3
Computed, not measured: a geometry-optimized Ti5Be4Ni4 structure at the PBE level of DFT.

Summary:
* formation enthalpy at 0 K: -0.2434 eV/atom
* volume: 160.3 Å³/cell
* total energy: -80.67 eV/f.u.

abc: 3.355 7.114 7.114
angles: 86.81 76.36 76.36
Element x y z (fractional)
Ti (0.708, 0.920, 0.664)
Ti (0.292, 0.080, 0.336)
Ti (0.000, 0.000, 0.000)
Ti (0.628, 0.664, 0.080)
Ti (0.372, 0.336, 0.920)
Be (0.745, 0.314, 0.195)
Be (0.255, 0.686, 0.805)
Be (0.940, 0.805, 0.314)
Be (0.060, 0.195, 0.686)
Ni (0.895, 0.524, 0.687)
Ni (0.582, 0.313, 0.524)
Ni (0.105, 0.476, 0.313)
Ni (0.418, 0.687, 0.476)



# 4
Computed, not measured: a geometry-optimized Pa3NbN structure at the PBE level of DFT.

Summary:
* uncorrected formation energy: -0.388 eV per atom
* volume: 106.2 Å³/cell
* total energy: -48.82 eV/f.u.

abc: 4.736 4.736 4.736
angles: 90.00 90.00 90.00
Element x y z (fractional)
Nb (0.500, 0.500, 0.500)
Pa (0.000, 0.500, 0.000)
Pa (0.000, 0.000, 0.500)
Pa (0.500, 0.000, 0.000)
N (0.000, 0.000, 0.000)



# 5
Computed, not measured: a geometry-optimized Sc3Ga3Ru2Rh structure at the PBE level of DFT.

Summary:
* formation enthalpy at 0 K: -0.6614 eV/atom
* volume: 151.8 Å³/cell
* total energy: -59.93 eV/f.u.

abc: 3.326 7.260 7.260
angles: 120.00 90.00 90.00
Element x y z (fractional)
Sc (0.000, 0.611, 0.611)
Sc (0.000, 0.000, 0.389)
Sc (0.000, 0.389, 0.000)
Ga (0.500, 0.721, 0.000)
Ga (0.500, 0.000, 0.721)
Ga (0.500, 0.279, 0.279)
Ru (0.500, 0.667, 0.333)
Ru (0.500, 0.333, 0.667)
Rh (0.000, 0.000, 0.000)



# 6
Computed, not measured: a geometry-optimized MgTaTl structure at the PBE level of DFT.

Summary:
* formation enthalpy at 0 K: 0.9959 eV/atom
* volume: 72.5 Å³/cell
* total energy: -12.83 eV/f.u.

abc: 4.680 4.680 4.680
angles: 60.00 60.00 60.00
Site moments in Bohr magnetons follow the coordinates.
Element x y z (fractional)
Mg (0.000, 0.000, 0.000)  -0.01
Ta (0.500, 0.500, 0.500)  0.95
Tl (0.250, 0.250, 0.250)  -0.01



# 7
Computed, not measured: a geometry-optimized GdDyMgRh structure at the PBE level of DFT.

Summary:
* formation enthalpy at 0 K: -0.3923 eV/atom
* volume: 92.4 Å³/cell
* total energy: -29.20 eV/f.u.

abc: 5.075 5.075 5.075
angles: 60.00 60.00 60.00
Site moments in Bohr magnetons follow the coordinates.
Element x y z (fractional)
Mg (0.000, 0.000, 0.000)  0.00
Gd (0.750, 0.750, 0.750)  -7.01
Rh (0.500, 0.500, 0.500)  0.05
Dy (0.250, 0.250, 0.250)  0.02



# 8
Computed, not measured: a geometry-optimized In2Ni2Sb structure at the PBE level of DFT.

Summary:
* uncorrected formation energy: 0.026 eV per atom
* volume: 182.2 Å³/cell
* offset from the most stable computed form: 0.00 eV/f.u.
* total energy: -21.03 eV/f.u.

abc: 7.623 7.623 3.136
angles: 90.00 90.00 90.00
Element x y z (fractional)
Sb (0.000, 0.000, 0.000)
Sb (0.500, 0.500, 0.000)
Ni (0.346, 0.846, 0.000)
Ni (0.846, 0.654, 0.000)
Ni (0.654, 0.154, 0.000)
Ni (0.154, 0.346, 0.000)
In (0.144, 0.644, 0.500)
In (0.644, 0.856, 0.500)
In (0.856, 0.356, 0.500)
In (0.356, 0.144, 0.500)



# 9
Computed, not measured: a geometry-optimized LaTc3Ag structure at the PBE level of DFT.

Summary:
* formation enthalpy at 0 K: 2.0906 eV/atom
* volume: 108.2 Å³/cell
* offset from the most stable computed form: 1.64 eV/f.u.
* total energy: -28.42 eV/f.u.

abc: 4.765 4.765 4.765
angles: 90.00 90.00 90.00
Site moments in Bohr magnetons follow the coordinates.
Element x y z (fractional)
Tc (0.000, 0.500, 0.000)  0.98
Tc (0.000, 0.000, 0.500)  1.00
Tc (0.500, 0.000, 0.000)  0.86
Ag (0.500, 0.500, 0.500)  0.03
La (0.000, 0.000, 0.000)  -0.05



# 10
Computed, not measured: a geometry-optimized SrHoTcN3 structure at the PBE level of DFT.

Summary:
* uncorrected formation energy: -0.781 eV per atom
* volume: 200.6 Å³/cell
* total energy: -46.29 eV/f.u.

abc: 3.484 9.266 6.442
angles: 105.29 90.00 90.00
Element x y z (fractional)
Sr (0.250, 0.311, 0.332)
Sr (0.750, 0.689, 0.668)
Ho (0.250, 0.639, 0.145)
Ho (0.750, 0.361, 0.855)
Tc (0.250, 0.077, 0.639)
Tc (0.750, 0.923, 0.361)
N (0.750, 0.816, 0.088)
N (0.250, 0.184, 0.912)
N (0.250, 0.847, 0.492)
N (0.750, 0.153, 0.508)
N (0.750, 0.492, 0.214)
N (0.250, 0.508, 0.786)



# 11
Computed, not measured: a geometry-optimized LaRuRh2 structure at the PBE level of DFT.

Summary:
* formation enthalpy at 0 K: 0.1158 eV/atom
* volume: 71.3 Å³/cell
* offset from the most stable computed form: 0.85 eV/f.u.
* total energy: -28.44 eV/f.u.

abc: 3.019 3.019 7.824
angles: 90.00 90.00 90.02
Element x y z (fractional)
La (0.500, 0.500, 0.756)
Rh (0.000, 0.000, 0.036)
Rh (0.500, 0.500, 0.257)
Ru (0.000, 0.000, 0.451)



# 12
Computed, not measured: a geometry-optimized CdPb2Br structure at the PBE level of DFT.

Summary:
* uncorrected formation energy: -0.018 eV per atom
* volume: 116.3 Å³/cell
* offset from the most stable computed form: 0.65 eV/f.u.
* total energy: -10.08 eV/f.u.

abc: 5.480 5.480 5.480
angles: 60.00 60.00 60.00
Element x y z (fractional)
Pb (0.250, 0.250, 0.250)
Pb (0.750, 0.750, 0.750)
Br (0.000, 0.000, 0.000)
Cd (0.500, 0.500, 0.500)



# 13
Computed, not measured: a geometry-optimized TbPmNi2P2 structure at the PBE level of DFT.

Summary:
* formation enthalpy at 0 K: -1.2005 eV/atom
* volume: 105.6 Å³/cell
* total energy: -38.97 eV/f.u.

abc: 3.920 3.920 7.930
angles: 90.00 90.00 120.00
Element x y z (fractional)
Tb (0.000, 0.000, 0.500)
Pm (0.000, 0.000, 0.000)
Ni (0.667, 0.333, 0.254)
Ni (0.333, 0.667, 0.746)
P (0.667, 0.333, 0.743)
P (0.333, 0.667, 0.257)



# 14
Computed, not measured: a geometry-optimized LiYCd2Au4 structure at the PBE level of DFT.

Summary:
* formation enthalpy at 0 K: -0.5071 eV/atom
* volume: 158.4 Å³/cell
* total energy: -27.37 eV/f.u.

abc: 4.793 4.793 8.429
angles: 73.48 73.48 60.00
Element x y z (fractional)
Li (0.500, 0.500, 0.500)
Y (0.000, 0.000, 0.000)
Cd (0.752, 0.752, 0.744)
Cd (0.248, 0.248, 0.256)
Au (0.385, 0.385, 0.846)
Au (0.872, 0.872, 0.383)
Au (0.128, 0.128, 0.617)
Au (0.615, 0.615, 0.154)



# 15
Computed, not measured: a geometry-optimized Te2PtPb structure at the PBE level of DFT.

Summary:
* uncorrected formation energy: 0.011 eV per atom
* volume: 108.3 Å³/cell
* total energy: -15.99 eV/f.u.

abc: 5.201 5.203 5.202
angles: 69.65 70.96 109.05
Element x y z (fractional)
Pb (0.500, 0.500, 0.000)
Pt (0.500, 0.000, 0.500)
Te (0.000, 0.000, 0.000)
Te (0.000, 0.500, 0.500)



# 16
Computed, not measured: a geometry-optimized CeTmCdAg structure at the PBE level of DFT.

Summary:
* formation enthalpy at 0 K: -0.1740 eV/atom
* volume: 103.1 Å³/cell
* total energy: -14.87 eV/f.u.

abc: 5.263 5.263 5.263
angles: 60.00 60.00 60.00
Site moments in Bohr magnetons follow the coordinates.
Element x y z (fractional)
Tm (0.000, 0.000, 0.000)  0.03
Ag (0.750, 0.750, 0.750)  0.00
Ce (0.500, 0.500, 0.500)  0.76
Cd (0.250, 0.250, 0.250)  0.00



# 17
Computed, not measured: a geometry-optimized CaAcTbPr structure at the PBE level of DFT.

Summary:
* formation enthalpy at 0 K: 0.0561 eV/atom
* volume: 154.5 Å³/cell
* offset from the most stable computed form: 0.00 eV/f.u.
* total energy: -15.30 eV/f.u.

abc: 3.803 3.803 10.686
angles: 89.99 90.01 90.00
Element x y z (fractional)
Ca (0.646, 0.354, 0.989)
Ac (0.146, 0.854, 0.709)
Tb (0.146, 0.854, 0.236)
Pr (0.646, 0.354, 0.455)



# 18
Computed, not measured: a geometry-optimized HfGeSe2 structure at the PBE level of DFT.

Summary:
* uncorrected formation energy: -0.674 eV per atom
* volume: 100.7 Å³/cell
* total energy: -24.24 eV/f.u.

abc: 9.179 9.179 9.179
angles: 22.66 22.66 22.66
Element x y z (fractional)
Ge (0.000, 0.000, 0.000)
Hf (0.500, 0.500, 0.500)
Se (0.895, 0.895, 0.895)
Se (0.105, 0.105, 0.105)